SrUBiO2 | Alexandria via LeMat-Bulk | PBE-GGA | optimized geometry; formation energy without anion corrections = -11.31 eV per formula unit; space group = No. 107
1.0
-3.355 -2.056 0.297
2.059 -3.215 0.999
0.158 4.401 6.042
Sr U Bi O
1 1 1 2
Direct
0.848 0.848 0.697 Sr
0.167 0.167 0.333 U
0.513 0.513 0.025 Bi
0.736 0.236 0.472 O
0.236 0.736 0.472 O

***

Tc2OsCl | Alexandria via LeMat-Bulk | PBE-GGA | optimized geometry; formation energy without anion corrections = 2.53 eV per formula unit; space group = No. 10; offset from the most stable computed form = 346.4 meV/atom
1.0
3.965 0.000 0.000
0.000 2.850 -0.003
0.000 1.458 5.123
Cl Os Tc
1 1 2
Direct
0.500 0.250 0.250 Cl
0.500 0.750 0.750 Os
0.000 0.129 0.007 Tc
0.000 0.371 0.493 Tc

***

CuSiTeN2 | Alexandria via LeMat-Bulk | PBE-GGA | optimized geometry; formation energy without anion corrections = 3.17 eV per formula unit; space group = No. 123; offset from the most stable computed form = 0.0 meV/atom
1.0
3.514 0.000 0.000
0.000 3.514 0.000
0.000 0.000 6.735
Si Te Cu N
1 1 1 2
Direct
0.000 0.000 0.000 Si
0.000 0.000 0.500 Te
0.500 0.500 0.500 Cu
0.000 0.500 0.000 N
0.500 0.000 0.000 N

***

TbPmRhCl | Alexandria via LeMat-Bulk | PBE-GGA | optimized geometry; formation energy without anion corrections = -4.65 eV per formula unit; space group = No. 160
1.0
-2.919 1.371 -2.352
-0.691 -3.071 2.454
0.046 4.965 6.225
Tb Pm Rh Cl
1 1 1 1
Direct
0.105 0.950 0.070 Tb
0.503 0.149 0.669 Pm
0.308 0.552 0.875 Rh
0.962 0.379 0.356 Cl

***

InPtPbC2 | Alexandria via LeMat-Bulk | PBE-GGA | optimized geometry; space group = No. 123
1.0
4.333 0.000 0.000
0.000 6.114 0.000
0.000 0.000 4.333
Pb C Pt In
1 2 1 1
Direct
0.000 0.000 0.000 Pb
0.000 0.000 0.500 C
0.500 0.000 0.000 C
0.500 0.500 0.500 Pt
0.000 0.500 0.000 In

***

KBaSi2 | Alexandria via LeMat-Bulk | PBE-GGA | optimized geometry; formation energy without anion corrections = -0.72 eV per formula unit; space group = No. 38; offset from the most stable computed form = 0.0 meV/atom
1.0
4.001 0.000 0.000
0.000 5.136 -0.007
0.000 2.576 6.135
K Si Ba
1 2 1
Direct
0.500 0.769 0.838 K
0.000 0.181 0.014 Si
0.500 0.070 0.236 Si
0.000 0.481 0.413 Ba

***

BaSbCl2 | Alexandria via LeMat-Bulk | PBE-GGA | optimized geometry; formation energy without anion corrections = -4.73 eV per formula unit; space group = No. 71; offset from the most stable computed form = 117.7 meV/atom
1.0
6.225 0.013 0.036
5.079 3.599 0.036
3.366 1.075 5.470
Sb Ba Cl
1 1 2
Direct
0.750 0.750 0.750 Sb
0.250 0.250 0.250 Ba
0.002 0.002 0.999 Cl
0.498 0.498 0.501 Cl

***

SeBr | Alexandria via LeMat-Bulk | PBE-GGA | optimized geometry; formation energy without anion corrections = 0.73 eV per formula unit; space group = No. 65
1.0
-2.637 -3.166 -1.959
4.401 1.040 -0.604
1.010 -2.612 2.863
Br Se
1 1
Direct
0.000 0.000 0.000 Br
0.500 0.500 0.500 Se

***

Ce3Pr4PuTe8 | Alexandria via LeMat-Bulk | PBE-GGA | optimized geometry; formation energy without anion corrections = -22.03 eV per formula unit; space group = No. 12
1.0
8.975 0.000 0.000
0.000 9.049 -0.056
-4.488 -4.555 6.397
Ce Pr Pu Te
3 4 1 8
Direct
0.500 0.500 0.000 Ce
0.500 0.500 0.500 Ce
0.000 0.500 0.500 Ce
0.500 0.000 0.000 Pr
0.500 0.000 0.500 Pr
0.000 0.000 0.000 Pr
0.000 0.000 0.500 Pr
0.000 0.500 0.000 Pu
0.247 0.745 0.998 Te
0.247 0.745 0.494 Te
0.251 0.253 0.502 Te
0.751 0.745 0.998 Te
0.249 0.255 0.002 Te
0.749 0.747 0.498 Te
0.753 0.255 0.506 Te
0.753 0.255 0.002 Te

***

BaScCo | Alexandria via LeMat-Bulk | PBE-GGA | optimized geometry; space group = No. 8; offset from the most stable computed form = 37.0 meV/atom
1.0
11.263 0.000 -0.004
0.000 4.356 0.000
-0.051 0.000 7.511
Ba Sc Co
4 4 4
Direct
0.064 0.000 0.498 Ba
0.064 0.500 0.998 Ba
0.425 0.000 0.159 Ba
0.425 0.500 0.659 Ba
0.822 0.000 0.162 Sc
0.822 0.500 0.662 Sc
0.664 0.000 0.827 Sc
0.664 0.500 0.327 Sc
0.750 0.000 0.495 Co
0.750 0.500 0.995 Co
0.878 0.000 0.829 Co
0.878 0.500 0.329 Co

***

Ag3HgF6 | Alexandria via LeMat-Bulk | PBE-GGA | optimized geometry; formation energy without anion corrections = -11.56 eV per formula unit; space group = No. 14
1.0
5.821 0.000 0.115
0.000 6.083 0.000
0.086 0.000 9.221
Ag Hg F
6 2 12
Direct
0.528 0.929 0.764 Ag
0.500 0.500 0.000 Ag
0.472 0.071 0.236 Ag
0.028 0.571 0.264 Ag
0.000 0.000 0.500 Ag
0.972 0.429 0.736 Ag
0.500 0.500 0.500 Hg
0.000 0.000 0.000 Hg
0.675 0.206 0.917 F
0.705 0.193 0.589 F
0.653 0.408 0.279 F
0.347 0.592 0.721 F
0.295 0.807 0.411 F
0.325 0.794 0.083 F
0.175 0.294 0.417 F
0.205 0.307 0.089 F
0.153 0.092 0.779 F
0.847 0.908 0.221 F
0.795 0.693 0.911 F
0.825 0.706 0.583 F

***

Number 1: total energy -7.615 eV per atom. Number 2: total energy -7.819 eV per atom. Number 3: total energy -5.227 eV per atom. Number 4: total energy -5.808 eV per atom. Number 5: total energy -3.526 eV per atom. Number 6: total energy -3.648 eV per atom. Number 7: total energy -3.617 eV per atom. Number 8: total energy -2.214 eV per atom. Number 9: total energy -6.151 eV per atom. Number 10: total energy -5.087 eV per atom. Number 11: total energy -3.164 eV per atom.